Record 1
Density functional theory data (GGA-PBE) for a relaxed structure of AcZn3Pt2.

## Properties
**Formation energy from the elements**: -0.706 eV/atom
**Energy above the lowest structure with this stoichiometry**: 0.0 meV/atom
**N(E_F)**: 0.36 states/eV per atom

Unit cell a=9.6967 b=9.6967 c=4.3108 alpha=90.00 beta=90.00 gamma=120.00
Fractional coordinates of all 18 atoms:
Ac (0.0000, 0.0000, 0.0000)
Ac (0.3333, 0.6667, 0.5000)
Ac (0.6667, 0.3333, 0.5000)
Zn (0.0000, 0.2924, 0.5000)
Zn (0.0000, 0.5000, 0.0000)
Zn (0.0000, 0.7076, 0.5000)
Zn (0.2924, 0.0000, 0.5000)
Zn (0.2924, 0.2924, 0.5000)
Zn (0.5000, 0.0000, 0.0000)
Zn (0.5000, 0.5000, 0.0000)
Zn (0.7076, 0.0000, 0.5000)
Zn (0.7076, 0.7076, 0.5000)
Pt (0.1881, 0.3761, 0.0000)
Pt (0.1881, 0.8119, 0.0000)
Pt (0.3761, 0.1881, 0.0000)
Pt (0.6239, 0.8119, 0.0000)
Pt (0.8119, 0.1881, 0.0000)
Pt (0.8119, 0.6239, 0.0000)


Record 2
Density functional theory data (GGA-PBE) for a relaxed structure of SmThZnCo.

## Properties
**Formation energy from the elements**: -0.108 eV/atom
**N(E_F)**: 0.79 states/eV per atom

Unit cell a=5.0231 b=5.0231 c=5.0231 alpha=60.00 beta=60.00 gamma=60.00
Fractional coordinates of all 4 atoms:
Sm (0.0000, 0.0000, 0.0000)
Th (0.5000, 0.5000, 0.5000)
Zn (0.7500, 0.7500, 0.7500)
Co (0.2500, 0.2500, 0.2500)


Record 3
Density functional theory data (GGA-PBE) for a relaxed structure of Tb2NdHo.

## Properties
**Formation energy from the elements**: 0.007 eV/atom
**Energy above the lowest structure with this stoichiometry**: 0.0 meV/atom
**N(E_F)**: 1.55 states/eV per atom

Unit cell a=11.7594 b=11.7594 c=11.7594 alpha=17.64 beta=17.64 gamma=17.64
Fractional coordinates of all 4 atoms:
Tb (0.0000, 0.0000, 0.0000)
Tb (0.1634, 0.1634, 0.1634)
Nd (0.5817, 0.5817, 0.5817)
Ho (0.4155, 0.4155, 0.4155)


Record 4
Density functional theory data (GGA-PBE) for a relaxed structure of Tb2BeB2Ru5.

## Properties
**Formation energy from the elements**: -0.320 eV/atom
**N(E_F)**: 1.15 states/eV per atom

Unit cell a=9.4281 b=9.4281 c=3.0994 alpha=90.00 beta=90.00 gamma=90.00
Fractional coordinates of all 20 atoms:
Tb (0.1751, 0.3249, 0.0000)
Tb (0.3249, 0.8249, 0.0000)
Tb (0.6751, 0.1751, 0.0000)
Tb (0.8249, 0.6751, 0.0000)
Be (0.0000, 0.0000, 0.0000)
Be (0.5000, 0.5000, 0.0000)
B (0.1261, 0.6261, 0.0000)
B (0.3739, 0.1261, 0.0000)
B (0.6261, 0.8739, 0.0000)
B (0.8739, 0.3739, 0.0000)
Ru (0.0000, 0.5000, 0.5000)
Ru (0.0681, 0.7912, 0.5000)
Ru (0.2088, 0.0681, 0.5000)
Ru (0.2912, 0.5681, 0.5000)
Ru (0.4319, 0.2912, 0.5000)
Ru (0.5000, 0.0000, 0.5000)
Ru (0.5681, 0.7088, 0.5000)
Ru (0.7088, 0.4319, 0.5000)
Ru (0.7912, 0.9319, 0.5000)
Ru (0.9319, 0.2088, 0.5000)


Record 5
Density functional theory data (GGA-PBE) for a relaxed structure of Rb2GeS4.

## Properties
**Energy above the lowest structure with this stoichiometry**: 110.5 meV/atom
**ΔE_f (raw)**: -369 meV/atom
**N(E_F)**: 0.58 states/eV per atom

Unit cell a=8.8079 b=8.8079 c=8.8079 alpha=146.82 beta=146.82 gamma=47.63
Fractional coordinates of all 7 atoms:
Rb (0.1443, 0.1443, 0.0000)
Rb (0.8557, 0.8557, 0.0000)
Ge (0.5000, 0.5000, 0.0000)
S (0.0000, 0.5000, 0.5000)
S (0.3610, 0.3610, 0.0000)
S (0.5000, 0.0000, 0.5000)
S (0.6390, 0.6390, 0.0000)


Record 6
Density functional theory data (GGA-PBE) for a relaxed structure of Dy4Te3S4.

## Properties
**Energy above the lowest structure with this stoichiometry**: 0.0 meV/atom
**ΔE_f (raw)**: -1705 meV/atom

Unit cell a=7.7292 b=7.7292 c=6.7281 alpha=95.65 beta=95.65 gamma=128.28
Fractional coordinates of all 11 atoms:
Dy (0.0777, 0.3997, 0.2438)
Dy (0.3997, 0.0777, 0.2438)
Dy (0.6003, 0.9223, 0.7562)
Dy (0.9223, 0.6003, 0.7562)
Te (0.1323, 0.1323, 0.8643)
Te (0.5000, 0.5000, 0.5000)
Te (0.8677, 0.8677, 0.1357)
S (0.2190, 0.7810, 0.5000)
S (0.2878, 0.7122, 0.0000)
S (0.7122, 0.2878, 0.0000)
S (0.7810, 0.2190, 0.5000)


Record 7
Density functional theory data (GGA-PBE) for a relaxed structure of CaAc2Si.

## Properties
**Energy above the lowest structure with this stoichiometry**: 288.1 meV/atom
**ΔE_f (raw)**: 40 meV/atom
**N(E_F)**: 1.23 states/eV per atom

Unit cell a=5.7176 b=5.7176 c=5.7176 alpha=60.00 beta=60.00 gamma=60.00
Fractional coordinates of all 4 atoms:
Ca (0.0000, 0.0000, 0.0000)
Ac (0.2500, 0.2500, 0.2500)
Ac (0.7500, 0.7500, 0.7500)
Si (0.5000, 0.5000, 0.5000)


Record 8
Density functional theory data (GGA-PBE) for a relaxed structure of ZnTeBr3.

## Properties
**Energy above the lowest structure with this stoichiometry**: 0.0 meV/atom
**ΔE_f (raw)**: -38 meV/atom
**N(E_F)**: 1.16 states/eV per atom

Unit cell a=5.1625 b=5.1625 c=5.1625 alpha=90.00 beta=90.00 gamma=90.00
Fractional coordinates of all 5 atoms:
Zn (0.0000, 0.0000, 0.0000)
Te (0.5000, 0.5000, 0.5000)
Br (0.0000, 0.0000, 0.5000)
Br (0.0000, 0.5000, 0.0000)
Br (0.5000, 0.0000, 0.0000)


Record 9
Density functional theory data (GGA-PBE) for a relaxed structure of Ho2PuNb.

## Properties
**Formation energy from the elements**: 0.555 eV/atom
**N(E_F)**: 2.72 states/eV per atom

Unit cell a=11.6461 b=11.6461 c=11.6461 alpha=15.93 beta=15.93 gamma=15.93
Fractional coordinates of all 4 atoms:
Ho (0.0847, 0.0847, 0.0847)
Ho (0.9153, 0.9153, 0.9153)
Pu (0.5000, 0.5000, 0.5000)
Nb (0.0000, 0.0000, 0.0000)


Record 10
Density functional theory data (GGA-PBE) for a relaxed structure of Cu2RePd.

## Properties
**Formation energy from the elements**: 0.124 eV/atom
**Energy above the lowest structure with this stoichiometry**: 0.0 meV/atom
**N(E_F)**: 0.69 states/eV per atom

Unit cell a=8.8251 b=8.8251 c=8.8251 alpha=17.64 beta=17.64 gamma=17.64
Fractional coordinates of all 4 atoms:
Cu (0.2499, 0.2499, 0.2499)
Cu (0.7501, 0.7501, 0.7501)
Re (0.0000, 0.0000, 0.0000)
Pd (0.5000, 0.5000, 0.5000)


Record 11
Density functional theory data (GGA-PBE) for a relaxed structure of Er8Al2Tl.

## Properties
**Formation energy from the elements**: -0.202 eV/atom
**Energy above the lowest structure with this stoichiometry**: 0.0 meV/atom
**N(E_F)**: 0.86 states/eV per atom

Unit cell a=8.3883 b=8.3883 c=8.3160 alpha=118.09 beta=118.09 gamma=35.93
Fractional coordinates of all 11 atoms:
Er (0.0651, 0.0651, 0.2189)
Er (0.1452, 0.1452, 0.6987)
Er (0.3167, 0.3167, 0.5455)
Er (0.4002, 0.4002, 0.0392)
Er (0.5998, 0.5998, 0.9608)
Er (0.6833, 0.6833, 0.4545)
Er (0.8548, 0.8548, 0.3013)
Er (0.9349, 0.9349, 0.7811)
Al (0.2242, 0.2242, 0.1199)
Al (0.7758, 0.7758, 0.8801)
Tl (0.5000, 0.5000, 0.5000)


Record 12
Density functional theory data (GGA-PBE) for a relaxed structure of CrCuSe2.

## Properties
**Energy above the lowest structure with this stoichiometry**: 281.9 meV/atom
**ΔE_f (raw)**: -87 meV/atom
**N(E_F)**: 0.40 states/eV per atom

Unit cell a=4.4093 b=3.4245 c=5.8455 alpha=90.00 beta=92.93 gamma=90.00
Fractional coordinates of all 4 atoms:
Cr (0.0000, 0.0000, 0.0000)
Cu (0.0000, 0.0000, 0.5000)
Se (0.2438, 0.5000, 0.7526)
Se (0.7562, 0.5000, 0.2474)